# TmAg5Te4, relaxed, DFT PBE
# Density in g/cm³: 7.2
# Energy in eV per atom: -3.451
data_TmAg5Te4
_chemical_formula_sum 'Tm2 Ag10 Te8'
_symmetry_space_group_name_H-M 'I m m m'
_symmetry_Int_Tables_number 71
_symmetry_space_group_name_Hall '-I 2 2'
_cell_length_a 4.469
_cell_length_b 8.355
_cell_length_c 15.118
_cell_angle_alpha 90.00
_cell_angle_beta 90.00
_cell_angle_gamma 90.00
loop_
_atom_site_label
_atom_site_fract_x
_atom_site_fract_y
_atom_site_fract_z
Tm1 0.000 0.000 0.000
Ag1 0.000 0.277 0.313
Ag2 0.000 0.500 0.000
Te1 0.000 0.000 0.205
Te2 0.000 0.237 0.500